No. 1
Compound: MoRhN2
Source: Alexandria
Functional: GGA-PBE
Structure: optimized geometry

abc: 4.634 4.634 9.426
angles: 90.00 90.00 90.00
Space group I-42d (No. 122)
Symmetry-distinct sites (fractional):
Mo 0.000 0.000 0.000 [4 per cell]
Rh 0.000 0.000 0.500 [4 per cell]
N 0.223 0.250 0.125 [8 per cell]

**Excess energy over the best structure of this formula in the dataset**: 0.00 eV/f.u.
**E_form (uncorrected)**: 0.2 eV/f.u.

***

No. 2
Compound: MoRh2N2
Source: Alexandria
Functional: GGA-PBE
Structure: optimized geometry

abc: 5.585 5.585 3.958
angles: 90.00 90.00 90.00
Space group P4/mbm (No. 127)
Symmetry-distinct sites (fractional):
Mo 0.000 0.000 0.000 [2 per cell]
Rh 0.174 0.326 0.500 [4 per cell]
N 0.187 0.313 0.000 [4 per cell]

**Excess energy over the best structure of this formula in the dataset**: 0.00 eV/f.u.
**E_form (uncorrected)**: 0.3 eV/f.u.

***

No. 3
Compound: Mo4Rh2N
Source: Alexandria
Functional: GGA-PBE
Structure: optimized geometry

abc: 11.651 11.651 11.651
angles: 90.00 90.00 90.00
Space group Fd-3m (No. 227, origin choice 2)
Symmetry-distinct sites (fractional):
Mo 0.000 0.000 0.000 [16 per cell]
Mo 0.052 0.375 0.875 [48 per cell]
Rh 0.040 0.040 0.210 [32 per cell]
N 0.000 0.000 0.500 [16 per cell]

**E_form (uncorrected)**: -0.8 eV/f.u.

***

No. 4
Compound: MoRh2N2
Source: Alexandria
Functional: GGA-PBE
Structure: optimized geometry

abc: 3.665 3.665 9.061
angles: 90.00 90.00 90.00
Space group I4/mmm (No. 139)
Symmetry-distinct sites (fractional):
Mo 0.000 0.000 0.000 [2 per cell]
Rh 0.000 0.500 0.250 [4 per cell]
N 0.000 0.000 0.376 [4 per cell]

**Excess energy over the best structure of this formula in the dataset**: 6.03 eV/f.u.
**E_form (uncorrected)**: 6.4 eV/f.u.

***

- E_form (uncorrected) of number 4 (MoRh2N2)?
  6.4 eV/f.u.